[1]
The following is a DFT calculation (GGA-PBE) of a relaxed structure of KAs3Pb.

The structure in POSCAR format:
```
KAs3Pb
1.0
-1.877 3.998 -3.136
-4.911 -0.569 2.214
1.305 3.611 3.822
K As Pb
1 3 1
Cartesian
0.000 0.000 0.000
-2.456 -0.284 1.107
0.653 1.805 1.911
-0.939 1.999 -1.568
-2.741 3.520 1.450
```

Values from the calculation:
distance to the lowest polymorph of the same formula: 0.666 eV/atom
crystal system: cubic

---

[2]
The following is a DFT calculation (GGA-PBE) of a relaxed structure of LiLa3C2N6.

The structure in POSCAR format:
```
LiLa3C2N6
1.0
5.463 0.000 0.000
-2.731 4.731 0.000
0.000 0.000 6.259
La N C Li
3 6 2 1
Cartesian
2.731 1.577 2.086
0.000 0.000 0.000
0.000 3.154 4.173
-1.183 3.837 1.714
1.183 3.837 1.714
1.548 0.894 4.545
3.915 0.894 4.545
0.000 1.787 1.714
2.731 2.943 4.545
2.731 1.577 4.648
0.000 3.154 1.612
0.000 0.000 3.130
```

Values from the calculation:
raw formation energy: -866 meV/atom
crystal system: trigonal